1.
This record from Alexandria describes crystalline KNb at its relaxed geometry. The functional is GGA-PBE.

Unit cell a=14.3448 b=14.3448 c=3.0803 alpha=90.00 beta=90.00 gamma=120.00
Space group P6_3/m (No. 176)
Unique sites:
1 K 0.1398 0.7752 0.2500 [6 per cell]
2 Nb 0.0655 0.4953 0.2500 [6 per cell]

- Excess energy over the best structure of this formula in the dataset: 0.353 eV per atom
- ΔH_f (0 K): 28.4 kcal/mol of atoms
- ρ: 2.4 g/cm³

2.
This record from Alexandria describes crystalline KNb at its relaxed geometry. The functional is GGA-PBE.

Unit cell a=6.1349 b=6.1349 c=7.0904 alpha=90.00 beta=90.00 gamma=120.00
Space group P6_3/mmc (No. 194)
Unique sites:
1 K 0.3333 0.6667 0.2500 [2 per cell]
2 Nb 0.3333 0.6667 0.7500 [2 per cell]

- Excess energy over the best structure of this formula in the dataset: 1.858 eV per atom
- ΔH_f (0 K): 63.1 kcal/mol of atoms
- ρ: 1.9 g/cm³

3.
This record from Alexandria describes crystalline KNb at its relaxed geometry. The functional is GGA-PBE.

Unit cell a=9.036 b=4.925 c=14.642 alpha=90.00 beta=90.00 gamma=90.00
Space group Pnma (No. 62)
Unique sites:
1 K 0.153 0.250 0.215 [4 per cell]
2 K 0.163 0.250 0.930 [4 per cell]
3 Nb 0.031 0.250 0.456 [4 per cell]
4 Nb 0.082 0.250 0.609 [4 per cell]

- Excess energy over the best structure of this formula in the dataset: 0.048 eV per atom
- ΔH_f (0 K): 21.3 kcal/mol of atoms
- ρ: 2.7 g/cm³

4.
This record from Alexandria describes crystalline KNb2 at its relaxed geometry. The functional is GGA-PBE.

Unit cell a=3.401 b=4.249 c=13.385 alpha=90.04 beta=96.53 gamma=90.00
Space group P1 (No. 1)
Unique sites:
1 K 0.000 0.000 0.000 [1 per cell]
2 K 0.334 0.498 0.690 [1 per cell]
3 Nb 0.148 0.493 0.254 [1 per cell]
4 Nb 0.228 0.994 0.436 [1 per cell]
5 Nb 0.649 0.993 0.257 [1 per cell]
6 Nb 0.727 0.494 0.433 [1 per cell]

- Excess energy over the best structure of this formula in the dataset: 0.000 eV per atom
- ΔH_f (0 K): 10.5 kcal/mol of atoms
- ρ: 3.9 g/cm³

5.
This record from Alexandria describes crystalline KNb at its relaxed geometry. The functional is GGA-PBE.

Unit cell a=15.604 b=3.392 c=8.800 alpha=90.00 beta=90.00 gamma=90.00
Space group Pmn2_1 (No. 31)
Unique sites:
1 K 0.000 0.019 0.000 [2 per cell]
2 K 0.224 0.986 0.671 [4 per cell]
3 Nb 0.000 0.012 0.557 [2 per cell]
4 Nb 0.079 0.511 0.372 [4 per cell]

- Excess energy over the best structure of this formula in the dataset: 0.000 eV per atom
- ΔH_f (0 K): 20.2 kcal/mol of atoms
- ρ: 2.8 g/cm³

6.
This record from Alexandria describes crystalline KNb at its relaxed geometry. The functional is GGA-PBE.

Unit cell a=6.730 b=10.436 c=16.241 alpha=90.00 beta=90.00 gamma=90.00
Space group Fddd (No. 70, origin choice 2)
Unique sites:
1 K 0.125 0.285 0.125 [16 per cell]
2 Nb 0.125 0.125 0.558 [16 per cell]

- Excess energy over the best structure of this formula in the dataset: 0.524 eV per atom
- ΔH_f (0 K): 32.3 kcal/mol of atoms
- ρ: 3.1 g/cm³

7.
This record from Alexandria describes crystalline KNb2 at its relaxed geometry. The functional is GGA-PBE.

Unit cell a=3.069 b=4.282 c=7.393 alpha=106.79 beta=101.44 gamma=90.00
Space group P1 (No. 1)
Unique sites:
1 K 0.000 0.000 0.000 [1 per cell]
2 Nb 0.260 0.743 0.490 [1 per cell]
3 Nb 0.769 0.254 0.510 [1 per cell]

- Excess energy over the best structure of this formula in the dataset: 0.436 eV per atom
- ΔH_f (0 K): 20.6 kcal/mol of atoms
- ρ: 4.1 g/cm³

8.
This record from Alexandria describes crystalline KNb4 at its relaxed geometry. The functional is GGA-PBE.

Unit cell a=4.636 b=4.636 c=4.636 alpha=90.00 beta=90.00 gamma=90.00
Space group Pm-3m (No. 221)
Unique sites:
1 K 0.000 0.000 0.000 [1 per cell]
2 Nb 0.000 0.000 0.500 [3 per cell]
3 Nb 0.500 0.500 0.500 [1 per cell]

- ΔH_f (0 K): 59.0 kcal/mol of atoms
- ρ: 6.8 g/cm³